# 1
Material: Pm4Dy3Er8
Method: DFT, PBE
State: relaxed

Results
As for the density of states at the Fermi level: 60.18 states/eV per cell. Its crystal system is monoclinic. The final energy is -4.2434 eV per atom. The calculation puts the energy above the most stable polymorph in this dataset at 253 meV per atom.

Unit cell a=13.3401 b=12.8084 c=6.7144 alpha=90.00 beta=120.07 gamma=90.00
With the nearest neighbours (Å) after each atom.
Space group C2/m (No. 12)
Inequivalent atoms, fractional coordinates:
Pm1 0.0000 0.0000 0.0000 (multiplicity 2)  6 Er 3.26-3.49, 2 Pm 3.36
Pm2 0.0000 0.0000 0.5000 (multiplicity 2)  2 Pm 3.36, 4 Er 3.53-3.58
Pm3 0.2500 0.2500 0.0000 (multiplicity 4)  4 Er 3.21-3.34, 2 Dy 3.36
Dy1 0.0000 0.5000 0.0000 (multiplicity 2)  6 Er 3.14-3.20
Dy2 0.2500 0.2500 0.5000 (multiplicity 4)  4 Er 3.21-3.34, 2 Pm 3.36
Er1 0.0000 0.2548 0.0000 (multiplicity 4)  3 Dy 3.14-3.34, 3 Pm 3.26-3.34
Er2 0.0000 0.3624 0.5000 (multiplicity 4)  7 Er 3.53-3.63, 4 Dy 3.63-3.79, 2 Pm 3.64
Er3 0.2307 0.5000 0.9667 (multiplicity 4)  1 Dy 3.20, 3 Pm 3.21-3.49, 4 Er 3.22-3.57
Er4 0.2326 0.5000 0.4897 (multiplicity 4)  3 Dy 3.20-3.21, 2 Er 3.22-3.50, 2 Pm 3.49-3.53


# 2
Material: Pm3Dy2Er
Method: DFT, PBE
State: relaxed

Results
As for the density of states at the Fermi level: 28.76 states/eV per cell. Its crystal system is orthorhombic. The final energy is -4.6780 eV per atom. The calculation puts the energy above the most stable polymorph in this dataset at 0 meV per atom.

Unit cell a=10.8183 b=6.2345 c=11.5915 alpha=90.00 beta=90.00 gamma=90.00
With the nearest neighbours (Å) after each atom.
Space group Cmc2_1 (No. 36)
Inequivalent atoms, fractional coordinates:
Pm1 0.0000 0.0009 0.0000 (multiplicity 4)  4 Dy 3.56-3.57, 2 Er 3.57, 6 Pm 3.60-3.61
Pm2 0.1662 0.4991 0.5000 (multiplicity 8)  2 Er 3.56-3.57, 4 Dy 3.57, 6 Pm 3.60-3.61
Dy1 0.1667 0.1657 0.2500 (multiplicity 8)  6 Pm 3.56-3.57, 3 Dy 3.60-3.61, 3 Er 3.60-3.61
Er1 0.0000 0.3341 0.7500 (multiplicity 4)  6 Pm 3.56-3.57, 6 Dy 3.60-3.61


# 3
Material: Pm12Dy5Er2
Method: DFT, PBE
State: relaxed

Results
As for the density of states at the Fermi level: 54.56 states/eV per cell. Its crystal system is monoclinic. The final energy is -4.5727 eV per atom. The calculation puts the energy above the most stable polymorph in this dataset at 19 meV per atom.

Unit cell a=15.8708 b=9.2636 c=8.7216 alpha=90.00 beta=92.07 gamma=90.00
With the nearest neighbours (Å) after each atom.
Space group C2/m (No. 12)
Inequivalent atoms, fractional coordinates:
Pm1 0.0602 0.0000 0.3417 (multiplicity 4)  2 Dy 3.38-3.62, 7 Pm 3.41-3.58, 2 Er 3.48
Pm2 0.0807 0.5000 0.8817 (multiplicity 4)  5 Pm 3.35-3.66, 2 Er 3.48, 3 Dy 3.50-3.70
Pm3 0.1288 0.1959 0.6778 (multiplicity 8)  4 Dy 3.41-3.78, 5 Pm 3.43-3.63, 1 Er 3.54
Pm4 0.1510 0.3184 0.2369 (multiplicity 8)  4 Pm 3.36-3.66, 1 Er 3.39, 3 Dy 3.54-3.73
Dy1 0.0000 0.5000 0.5000 (multiplicity 2)  10 Pm 3.52-3.78, 2 Dy 3.69
Dy2 0.2028 0.0000 0.0270 (multiplicity 4)  8 Pm 3.50-3.73, 2 Er 3.59, 1 Dy 3.65
Dy3 0.2311 0.5000 0.5677 (multiplicity 4)  8 Pm 3.38-3.70, 2 Dy 3.65-3.69
Er1 0.0000 0.1711 0.0000 (multiplicity 4)  1 Er 3.17, 8 Pm 3.39-3.54


# 4
Material: PmDy12Er6
Method: DFT, PBE
State: relaxed

Results
As for the density of states at the Fermi level: 99.53 states/eV per cell. Its crystal system is trigonal. The final energy is -4.4417 eV per atom. The calculation puts the energy above the most stable polymorph in this dataset at 0 meV per atom.

Unit cell a=11.8370 b=11.8370 c=15.0989 alpha=90.00 beta=90.00 gamma=120.00
With the nearest neighbours (Å) after each atom.
Space group R-3 (No. 148, hexagonal axes)
Inequivalent atoms, fractional coordinates:
Pm1 0.0000 0.0000 0.0000 (multiplicity 3)  6 Er 3.46, 6 Dy 3.55
Dy1 0.0152 0.8343 0.1915 (multiplicity 18)  4 Dy 3.40-3.56, 4 Er 3.49-3.65, 1 Pm 3.55
Dy2 0.0415 0.8507 0.4160 (multiplicity 18)  3 Er 3.24-3.42, 6 Dy 3.27-3.56
Er1 0.0096 0.4231 0.6804 (multiplicity 18)  6 Dy 3.24-3.58, 1 Pm 3.46, 2 Er 3.48


# 5
Material: PmDy4Er3
Method: DFT, PBE
State: relaxed

Results
As for the density of states at the Fermi level: 26.35 states/eV per cell. Its crystal system is orthorhombic. The final energy is -4.3833 eV per atom. The calculation puts the energy above the most stable polymorph in this dataset at 215 meV per atom.

Unit cell a=5.6256 b=25.9759 c=3.5453 alpha=90.00 beta=90.00 gamma=90.00
With the nearest neighbours (Å) after each atom.
Space group Cmmm (No. 65)
Inequivalent atoms, fractional coordinates:
Pm1 0.0000 0.0000 0.0000 (multiplicity 2)  4 Dy 3.25, 4 Er 3.32, 2 Pm 3.55
Dy1 0.0000 0.1049 0.5000 (multiplicity 4)  1 Dy 3.09, 2 Pm 3.25
Dy2 0.0000 0.2240 0.5000 (multiplicity 4)  3 Dy 3.09-3.12
Er1 0.0000 0.3444 0.0000 (multiplicity 4)  2 Er 3.55, 10 Dy 3.58-3.77
Er2 0.0000 0.5000 0.5000 (multiplicity 2)  4 Pm 3.32, 2 Er 3.55


# 6
Material: PmDy2Er3
Method: DFT, PBE
State: relaxed

Results
As for the density of states at the Fermi level: 38.95 states/eV per cell. Its crystal system is monoclinic. The final energy is -4.5990 eV per atom. The calculation puts the energy above the most stable polymorph in this dataset at 0 meV per atom.

Unit cell a=21.8877 b=3.6238 c=11.2372 alpha=90.00 beta=120.88 gamma=90.00
With the nearest neighbours (Å) after each atom.
Space group C2/m (No. 12)
Inequivalent atoms, fractional coordinates:
Pm1 0.1117 0.0000 0.4859 (multiplicity 4)  5 Er 3.48-3.63, 5 Dy 3.52-3.64, 2 Pm 3.62
Dy1 0.0563 0.5000 0.6850 (multiplicity 4)  3 Er 3.48-3.50, 4 Pm 3.54-3.64, 5 Dy 3.58-3.63
Dy2 0.2236 0.0000 0.8491 (multiplicity 4)  6 Dy 3.48-3.63, 5 Er 3.50-3.59, 1 Pm 3.52
Er1 0.0552 0.5000 0.1772 (multiplicity 4)  9 Er 3.44-3.62, 1 Dy 3.50, 2 Pm 3.53
Er2 0.1112 0.0000 0.9875 (multiplicity 4)  7 Er 3.47-3.62, 5 Dy 3.48-3.59
Er3 0.2212 0.0000 0.3457 (multiplicity 4)  7 Er 3.47-3.62, 3 Pm 3.48-3.63, 2 Dy 3.50


# 7
Material: Pm11Dy4Er9
Method: DFT, PBE
State: relaxed

Results
As for the density of states at the Fermi level: 60.24 states/eV per cell. Its crystal system is orthorhombic. The final energy is -4.6003 eV per atom.

Unit cell a=16.8562 b=25.5350 c=3.6498 alpha=90.00 beta=90.00 gamma=90.00
With the nearest neighbours (Å) after each atom.
Space group Cmmm (No. 65)
Inequivalent atoms, fractional coordinates:
Pm1 0.0000 0.0000 0.0000 (multiplicity 2)  8 Er 3.52, 2 Pm 3.65
Pm2 0.0000 0.1604 0.0000 (multiplicity 4)  4 Pm 3.65-3.82, 8 Er 3.70-3.73
Pm3 0.0000 0.3681 0.0000 (multiplicity 4)  4 Dy 3.30, 4 Er 3.60, 2 Pm 3.65
Pm4 0.2081 0.5000 0.0000 (multiplicity 4)  4 Dy 3.29, 4 Er 3.65, 2 Pm 3.65
Pm5 0.2246 0.1812 0.0000 (multiplicity 8)  2 Dy 3.39, 6 Er 3.52-3.69, 3 Pm 3.62-3.65
Dy1 0.1567 0.3985 0.5000 (multiplicity 8)  6 Pm 3.29-3.39, 2 Er 3.48-3.50, 2 Dy 3.65
Er1 0.0000 0.5000 0.5000 (multiplicity 2)  2 Er 3.65, 4 Dy 3.70, 8 Pm 3.83-3.95
Er2 0.1019 0.2671 0.5000 (multiplicity 8)  3 Er 3.44-3.65, 1 Dy 3.48, 8 Pm 3.52-3.70
Er3 0.1405 0.0728 0.5000 (multiplicity 8)  1 Dy 3.50, 8 Pm 3.52-3.73, 3 Er 3.65-3.72


# 8
Material: PmDy2Er6
Method: DFT, PBE
State: relaxed

Results
As for the density of states at the Fermi level: 29.38 states/eV per cell. Its crystal system is monoclinic. The final energy is -4.5182 eV per atom. The calculation puts the energy above the most stable polymorph in this dataset at 52 meV per atom.

Unit cell a=28.9904 b=5.5881 c=3.4482 alpha=90.00 beta=90.00 gamma=90.00
With the nearest neighbours (Å) after each atom.
Space group C2/m (No. 12)
Inequivalent atoms, fractional coordinates:
Pm1 0.0000 0.0000 0.0000 (multiplicity 2)  2 Pm 3.45, 12 Er 3.66-3.68
Dy1 0.1669 0.5000 0.0011 (multiplicity 4)  2 Dy 3.45, 12 Er 3.63-3.66
Er1 0.0563 0.5000 0.5006 (multiplicity 4)  5 Er 3.23-3.45
Er2 0.1122 0.0000 0.5016 (multiplicity 4)  5 Er 3.20-3.45
Er3 0.2227 0.0000 0.5006 (multiplicity 4)  5 Er 3.20-3.45


# 9
Material: Pm4DyEr4
Method: DFT, PBE
State: relaxed

Results
As for the density of states at the Fermi level: 29.93 states/eV per cell. Its crystal system is monoclinic. The final energy is -4.5444 eV per atom. The calculation puts the energy above the most stable polymorph in this dataset at 85 meV per atom.

Unit cell a=16.8485 b=5.5832 c=6.7986 alpha=90.00 beta=113.35 gamma=90.00
With the nearest neighbours (Å) after each atom.
Space group C2/m (No. 12)
Inequivalent atoms, fractional coordinates:
Pm1 0.1335 0.0000 0.4594 (multiplicity 4)  5 Er 3.30-3.68, 3 Pm 3.49-3.50, 2 Dy 3.66
Pm2 0.2196 0.5000 0.7861 (multiplicity 4)  2 Er 3.35-3.60, 1 Dy 3.43, 3 Pm 3.49-3.50
Dy1 0.0000 0.5000 0.5000 (multiplicity 2)  6 Pm 3.43-3.66, 6 Er 3.60-3.65
Er1 0.0717 0.0000 0.8755 (multiplicity 4)  4 Pm 3.30-3.68, 3 Er 3.36-3.46, 2 Dy 3.65
Er2 0.1238 0.5000 0.1739 (multiplicity 4)  2 Er 3.36, 3 Pm 3.37-3.60, 1 Dy 3.60


| no. | total magnetization (μB per atom) |
| --- | --- |
| 1 | 0.0000 |
| 2 | 0.0001 |
| 3 | 0.0000 |
| 4 | 0.0000 |
| 5 | 0.0000 |
| 6 | 0.0002 |
| 7 | 0.0000 |
| 8 | 0.0003 |
| 9 | 0.0000 |